First-principles (PBE-GGA) data for a geometry-optimized LuHfThSc structure, as listed in Alexandria.

Magnetic moment: 0.00 μB/f.u.
Formation enthalpy at 0 K: 135 meV/atom
Final energy: -6.922 eV per atom

Lattice parameters (Å, degrees): 7.517 7.517 7.517 90.00 90.00 90.00
Space group F-43m (No. 216)
Asymmetric unit:
1 Lu 0.000 0.000 0.000 x4
2 Hf 0.250 0.250 0.750 x4
3 Th 0.000 0.000 0.500 x4
4 Sc 0.250 0.250 0.250 x4